Entry from the Open Quantum Materials Database: DyAsOs after structural relaxation (GGA-PBE).

The value obtained for the spin magnetization is 0.03 μB per cell. Its total energy is -6.233 eV per atom. Its symmetry is F-43m, No. 216.

abc: 6.5039 6.5039 6.5039
angles: 90.00 90.00 90.00
Atoms (fractional coordinates):
1 Dy 0.0000 0.0000 0.0000
2 Dy 0.0000 0.5000 0.5000
3 Dy 0.5000 0.0000 0.5000
4 Dy 0.5000 0.5000 0.0000
5 As 0.2500 0.2500 0.7500
6 As 0.2500 0.7500 0.2500
7 As 0.7500 0.2500 0.2500
8 As 0.7500 0.7500 0.7500
9 Os 0.2500 0.2500 0.2500
10 Os 0.2500 0.7500 0.7500
11 Os 0.7500 0.2500 0.7500
12 Os 0.7500 0.7500 0.2500

Entry from the Open Quantum Materials Database: DyAsOs after structural relaxation (GGA-PBE).

The value obtained for the spin magnetization is 0.03 μB per cell. Its total energy is -6.948 eV per atom. Its symmetry is F-43m, No. 216.

abc: 6.3336 6.3336 6.3336
angles: 90.00 90.00 90.00
Atoms (fractional coordinates):
1 Dy 0.0000 0.0000 0.0000
2 Dy 0.0000 0.5000 0.5000
3 Dy 0.5000 0.0000 0.5000
4 Dy 0.5000 0.5000 0.0000
5 As 0.0000 0.0000 0.5000
6 As 0.0000 0.5000 0.0000
7 As 0.5000 0.0000 0.0000
8 As 0.5000 0.5000 0.5000
9 Os 0.2500 0.2500 0.7500
10 Os 0.2500 0.7500 0.2500
11 Os 0.7500 0.2500 0.2500
12 Os 0.7500 0.7500 0.7500

Entry from the Open Quantum Materials Database: DyTm2Sc3As2Os after structural relaxation (GGA-PBE).

The value obtained for the spin magnetization is 0.01 μB per cell. Its total energy is -6.746 eV per atom. Its symmetry is Amm2, No. 38.

abc: 4.0761 7.4966 7.4966
angles: 119.99 90.00 90.00
Atoms (fractional coordinates):
1 Dy 0.0000 0.0000 0.0000
2 Tm 0.0000 0.4059 0.8117
3 Tm 0.0000 0.8117 0.4059
4 Sc 0.5000 0.1708 0.4067
5 Sc 0.5000 0.4067 0.1708
6 Sc 0.5000 0.6482 0.6482
7 As 0.5000 0.0744 0.7379
8 As 0.5000 0.7379 0.0744
9 Os 0.0000 0.4136 0.4136

Entry from the Open Quantum Materials Database: Dy3TmSc2As2Os after structural relaxation (GGA-PBE).

The value obtained for the spin magnetization is 0.02 μB per cell. Its total energy is -6.545 eV per atom. Its symmetry is Amm2, No. 38.

abc: 4.1071 7.6270 7.6270
angles: 119.80 90.00 90.00
Atoms (fractional coordinates):
1 Dy 0.0000 0.0000 0.0000
2 Dy 0.0000 0.4006 0.8111
3 Dy 0.0000 0.8111 0.4006
4 Tm 0.5000 0.6366 0.6366
5 Sc 0.5000 0.1620 0.4036
6 Sc 0.5000 0.4036 0.1620
7 As 0.5000 0.0740 0.7371
8 As 0.5000 0.7371 0.0740
9 Os 0.0000 0.3848 0.3848

Entry from the Open Quantum Materials Database: Dy2YSc3As2Os after structural relaxation (GGA-PBE).

The value obtained for the spin magnetization is 0.03 μB per cell. Its total energy is -6.990 eV per atom. Its symmetry is Amm2, No. 38.

abc: 4.0905 7.5425 7.5425
angles: 119.85 90.00 90.00
Atoms (fractional coordinates):
1 Dy 0.0000 0.2035 0.7965
2 Dy 0.0000 0.7965 0.2035
3 Y 0.0000 0.3882 0.3882
4 Sc 0.5000 0.0317 0.0317
5 Sc 0.5000 0.5607 0.7966
6 Sc 0.5000 0.7966 0.5607
7 As 0.5000 0.1297 0.4630
8 As 0.5000 0.4630 0.1297
9 Os 0.0000 0.7974 0.7974

Entry from the Open Quantum Materials Database: DyY3Tm2As2Os after structural relaxation (GGA-PBE).

The value obtained for the spin magnetization is 0.07 μB per cell. Its total energy is -6.715 eV per atom. Its symmetry is Amm2, No. 38.

abc: 4.1518 7.8597 7.8597
angles: 120.24 90.00 90.00
Atoms (fractional coordinates):
1 Dy 0.0000 0.0000 0.0000
2 Y 0.5000 0.2427 0.8361
3 Y 0.5000 0.6462 0.6462
4 Y 0.5000 0.8361 0.2427
5 Tm 0.0000 0.2424 0.4864
6 Tm 0.0000 0.4864 0.2424
7 As 0.0000 0.5734 0.9096
8 As 0.0000 0.9096 0.5734
9 Os 0.5000 0.2483 0.2483